DFT (PBE) results for a relaxed MnCrTcGe crystal.

Computed properties:
For the calculated total energy, the calculation gives -33.200 eV per cell. As for the volume: 54 Å³/cell. Its formation energy from the elements is 0.14 eV per atom. Its space group is Cm (8). The density of states at the Fermi level comes out at 4.06 states/eV/cell.

Cell: 2.790 2.790 7.869 Å, 94.88 94.88 62.78°
Positions (direct):
Mn 0.000 0.000 0.000
Cr 0.532 0.532 0.233
Tc 0.909 0.909 0.486
Ge 0.295 0.295 0.749


DFT (PBE) results for a relaxed MnCrTcGe crystal.

Computed properties:
For the calculated total energy, the calculation gives -33.346 eV per cell. As for the volume: 54 Å³/cell. Its formation energy from the elements is 0.11 eV per atom. Its space group is Cm (8). The density of states at the Fermi level comes out at 2.78 states/eV/cell.

Cell: 4.329 4.329 5.728 Å, 124.36 124.36 38.68°
Positions (direct):
Mn 0.000 0.000 0.000
Cr 0.604 0.604 0.778
Tc 0.226 0.226 0.547
Ge 0.372 0.372 0.225


DFT (PBE) results for a relaxed MnCrTcGe crystal.

Computed properties:
For the calculated total energy, the calculation gives -33.812 eV per cell. As for the volume: 51 Å³/cell. Its formation energy from the elements is -0.01 eV per atom. Its space group is P4mm (99). The density of states at the Fermi level comes out at 2.36 states/eV/cell.

Cell: 2.949 2.949 5.834 Å, 90.00 90.00 90.00°
Positions (direct):
Mn 0.000 0.000 0.000
Cr 0.500 0.500 0.216
Tc 0.000 0.000 0.489
Ge 0.500 0.500 0.755


DFT (PBE) results for a relaxed MnCrTcGe crystal.

Computed properties:
For the calculated total energy, the calculation gives -33.460 eV per cell. As for the volume: 52 Å³/cell. Its formation energy from the elements is 0.08 eV per atom. Its space group is Pmm2 (25). The density of states at the Fermi level comes out at 3.79 states/eV/cell.

Cell: 2.734 3.873 4.930 Å, 90.00 90.00 90.00°
Positions (direct):
Mn 0.000 0.000 0.000
Cr 0.500 0.500 0.249
Tc 0.500 0.500 0.754
Ge 0.000 0.000 0.492